MnInTc2 meta-GGA SCAN PBEsol geometry; Fermi-level density of states = 0.609 states/eV per atom; space group = Pmm2, No. 25; energy relative to the elements = 1.3 kcal/mol of atoms
1.0
2.838 0.000 0.000
0.000 3.776 0.000
0.000 0.000 5.619
Mn In Tc
1 1 2
Direct
0.000 0.000 0.000
0.500 0.500 0.735
0.000 0.000 0.441
0.500 0.500 0.233